Entry 1:
# GGA-PBE LiYTi, relaxed
# ΔE_f = 281 meV/atom
# Relative energy among the computed polymorphs = 0.188 eV/atom
# Space group = Imma, No. 74
data_LiYTi
_cell_length_a 5.6942
_cell_length_b 5.3372
_cell_length_c 5.9336
_cell_angle_alpha 63.27
_cell_angle_beta 61.33
_cell_angle_gamma 90.00
_space_group_name_H-M_alt 'P 1'
_space_group_IT_number 1
loop_
_space_group_symop_operation_xyz
'x,y,z'
loop_
_atom_site_label
_atom_site_fract_x
_atom_site_fract_y
_atom_site_fract_z
Ti1 0.0000 0.0000 0.0000
Y1 0.6310 0.3810 0.7381
Li1 0.5000 0.0000 0.5000
Y2 0.3690 0.6190 0.2619
Ti2 0.0000 0.5000 0.0000
Li2 0.0000 0.0000 0.5000



Entry 2:
# GGA-PBE LiYTi, relaxed
# ΔE_f = 93 meV/atom
# Relative energy among the computed polymorphs = 0.000 eV/atom
# Space group = P4/nmm, No. 129
data_LiYTi
_cell_length_a 3.5846
_cell_length_b 3.5846
_cell_length_c 10.7985
_cell_angle_alpha 90.00
_cell_angle_beta 90.00
_cell_angle_gamma 90.00
_space_group_name_H-M_alt 'P 1'
_space_group_IT_number 1
loop_
_space_group_symop_operation_xyz
'x,y,z'
loop_
_atom_site_label
_atom_site_fract_x
_atom_site_fract_y
_atom_site_fract_z
Ti1 0.0000 0.5000 0.9497
Y1 0.0000 0.5000 0.2330
Y2 0.5000 0.0000 0.7670
Li1 0.0000 0.5000 0.5659
Li2 0.5000 0.0000 0.4341
Ti2 0.5000 0.0000 0.0503



Entry 3:
# GGA-PBE Li2YTi, relaxed
# ΔE_f = 537 meV/atom
# Relative energy among the computed polymorphs = 0.172 eV/atom
# Space group = I-42d, No. 122
data_Li2YTi
_cell_length_a 4.0967
_cell_length_b 4.0967
_cell_length_c 11.5528
_cell_angle_alpha 79.79
_cell_angle_beta 79.79
_cell_angle_gamma 90.00
_space_group_name_H-M_alt 'P 1'
_space_group_IT_number 1
loop_
_space_group_symop_operation_xyz
'x,y,z'
loop_
_atom_site_label
_atom_site_fract_x
_atom_site_fract_y
_atom_site_fract_z
Ti1 0.2500 0.7500 0.5000
Y1 0.7500 0.2500 0.5000
Li1 0.8750 0.8439 0.7500
Li2 0.5939 0.1250 0.2500
Li3 0.3750 0.4061 0.7500
Y2 0.0000 0.0000 0.0000
Ti2 0.5000 0.5000 0.0000
Li4 0.1561 0.6250 0.2500



Entry 4:
# GGA-PBE LiYTi, relaxed
# ΔE_f = 252 meV/atom
# Relative energy among the computed polymorphs = 0.159 eV/atom
# Space group = Ima2, No. 46
data_LiYTi
_cell_length_a 4.6520
_cell_length_b 8.6261
_cell_length_c 5.9500
_cell_angle_alpha 43.53
_cell_angle_beta 66.99
_cell_angle_gamma 90.00
_space_group_name_H-M_alt 'P 1'
_space_group_IT_number 1
loop_
_space_group_symop_operation_xyz
'x,y,z'
loop_
_atom_site_label
_atom_site_fract_x
_atom_site_fract_y
_atom_site_fract_z
Y1 0.9762 0.4419 0.5476
Li1 0.7589 0.5917 0.9822
Ti1 0.1850 0.9995 0.1300
Li2 0.2589 0.4262 0.9821
Ti2 0.6852 0.8708 0.1296
Y2 0.4762 0.0106 0.5476



Summary of total magnetization in Bohr magnetons per cell
3.50 0.00 3.31 0.00
(order as listed above)